Entry 1:
Below is a geometry-optimized CuAg2Pt structure, with properties calculated at the PBE level.

a b c (Å): 4.6723 4.6723 2.9531
angles (deg): 90.00 90.00 90.00
Last column: nearest neighbours and their distance in Å.
Atoms (fractional coordinates):
Cu (0.0000, 0.0000, 0.0000)  8 Ag 2.76, 2 Cu 2.95
Ag (0.0000, 0.5000, 0.5000)  4 Pt 2.76, 4 Cu 2.76, 2 Ag 2.95
Ag (0.5000, 0.0000, 0.5000)  4 Pt 2.76, 4 Cu 2.76, 2 Ag 2.95
Pt (0.5000, 0.5000, 0.0000)  8 Ag 2.76, 2 Pt 2.95

Space group: P4/mmm (123)
Energy of formation from the pure elements, eV/f.u.: 0.424
Fermi-level density of states, states/eV/f.u.: 1.60


Entry 2:
Below is a geometry-optimized LaCu2W structure, with properties calculated at the PBE level.

a b c (Å): 2.8976 2.8976 8.2989
angles (deg): 90.00 90.00 90.00
Last column: nearest neighbours and their distance in Å.
Atoms (fractional coordinates):
La (0.0000, 0.0000, 0.0000)  4 La 2.90, 4 Cu 3.19
Cu (0.0000, 0.0000, 0.5304)  4 Cu 2.51, 4 W 2.69
Cu (0.5000, 0.5000, 0.7057)  4 Cu 2.51
W (0.5000, 0.5000, 0.3204)  4 Cu 2.69, 4 W 2.90

Space group: P4mm (99)
Energy of formation from the pure elements, eV/f.u.: 1.597
Fermi-level density of states, states/eV/f.u.: 3.37


Entry 3:
Below is a geometry-optimized Sr2TaAg structure, with properties calculated at the PBE level.

a b c (Å): 10.9293 10.9293 10.9293
angles (deg): 18.20 18.20 18.20
Last column: nearest neighbours and their distance in Å.
Atoms (fractional coordinates):
Sr (0.2505, 0.2505, 0.2505)  3 Ag 3.33, 3 Ta 3.36, 6 Sr 3.46
Sr (0.7495, 0.7495, 0.7495)  3 Ag 3.33, 3 Ta 3.36, 6 Sr 3.46
Ta (0.5000, 0.5000, 0.5000)  6 Sr 3.36, 6 Ta 3.46
Ag (0.0000, 0.0000, 0.0000)  6 Sr 3.33, 6 Ag 3.46

Space group: R-3m (166)
Energy of formation from the pure elements, eV/f.u.: 2.847
Fermi-level density of states, states/eV/f.u.: 3.03


Entry 4:
Below is a geometry-optimized YZr2W structure, with properties calculated at the PBE level.

a b c (Å): 5.0804 5.0804 5.0804
angles (deg): 122.94 122.94 84.99
Last column: nearest neighbours and their distance in Å.
Atoms (fractional coordinates):
Y (0.0000, 0.0000, 0.0000)  8 Zr 3.07-3.43, 4 W 3.07
Zr (0.2500, 0.7500, 0.5000)  4 Zr 3.07, 4 Y 3.07, 4 W 3.43
Zr (0.5000, 0.5000, 0.0000)  4 Zr 3.07, 4 W 3.07, 4 Y 3.43
W (0.7500, 0.2500, 0.5000)  8 Zr 3.07-3.43, 4 Y 3.07

Space group: I-4m2 (119)
Energy of formation from the pure elements, eV/f.u.: 1.627
Fermi-level density of states, states/eV/f.u.: 6.99


Entry 5:
Below is a geometry-optimized RbTl2Pb structure, with properties calculated at the PBE level.

a b c (Å): 5.2970 5.2970 7.1443
angles (deg): 111.43 111.43 59.49
Last column: nearest neighbours and their distance in Å.
Atoms (fractional coordinates):
Rb (0.0000, 0.0000, 0.0000)  6 Tl 3.70-3.71
Tl (0.2245, 0.2245, 0.6748)  3 Pb 3.25-3.26
Tl (0.7755, 0.7755, 0.3252)  3 Pb 3.25-3.26
Pb (0.5000, 0.5000, 0.5000)  6 Tl 3.25-3.26

Space group: C2/m (12)
Energy of formation from the pure elements, eV/f.u.: -0.235
Fermi-level density of states, states/eV/f.u.: 2.32


Entry 6:
Below is a geometry-optimized AcLa5Dy structure, with properties calculated at the PBE level.

a b c (Å): 6.8455 6.8455 11.9935
angles (deg): 102.33 102.33 97.54
Last column: nearest neighbours and their distance in Å.
Atoms (fractional coordinates):
Ac (0.0000, 0.5000, 0.0000)  6 La 3.54-3.82
Ac (0.5000, 0.0000, 0.5000)  6 La 3.54-3.82
La (0.0665, 0.2790, 0.5350)  6 La 3.43-3.82, 2 Dy 3.54-3.60, 1 Ac 3.78
La (0.0856, 0.9144, 0.2500)  6 La 3.43-3.82, 1 Dy 3.50, 2 Ac 3.54
La (0.2790, 0.0665, 0.0350)  6 La 3.43-3.82, 2 Dy 3.54-3.60, 1 Ac 3.78
La (0.3042, 0.4442, 0.3299)  4 La 3.41-3.79, 2 Dy 3.67-3.72
La (0.4442, 0.3042, 0.8299)  4 La 3.41-3.79, 2 Dy 3.67-3.72
La (0.5558, 0.6958, 0.1701)  4 La 3.41-3.79, 2 Dy 3.67-3.72
La (0.6958, 0.5558, 0.6701)  4 La 3.41-3.79, 2 Dy 3.67-3.72
La (0.7210, 0.9335, 0.9650)  6 La 3.43-3.82, 2 Dy 3.54-3.60, 1 Ac 3.78
La (0.9144, 0.0856, 0.7500)  6 La 3.43-3.82, 1 Dy 3.50, 2 Ac 3.54
La (0.9335, 0.7210, 0.4650)  6 La 3.43-3.82, 2 Dy 3.54-3.60, 1 Ac 3.78
Dy (0.2541, 0.7459, 0.7500)  9 La 3.50-3.72
Dy (0.7459, 0.2541, 0.2500)  9 La 3.50-3.72

Space group: C2/c (15)
Energy of formation from the pure elements, eV/f.u.: 0.544
Fermi-level density of states, states/eV/f.u.: 10.99


Entry 7:
Below is a geometry-optimized Dy3Tm4Ag structure, with properties calculated at the PBE level.

a b c (Å): 3.5087 3.5087 18.7865
angles (deg): 90.00 90.00 90.00
Last column: nearest neighbours and their distance in Å.
Atoms (fractional coordinates):
Dy (0.0000, 0.0000, 0.0000)  4 Dy 3.51, 8 Tm 3.52
Dy (0.0000, 0.0000, 0.2650)  8 Tm 3.51-3.55, 4 Dy 3.51
Dy (0.0000, 0.0000, 0.7350)  8 Tm 3.51-3.55, 4 Dy 3.51
Tm (0.5000, 0.5000, 0.1330)  8 Dy 3.51-3.52, 4 Tm 3.51
Tm (0.5000, 0.5000, 0.3997)  4 Ag 3.11
Tm (0.5000, 0.5000, 0.6003)  4 Ag 3.11
Tm (0.5000, 0.5000, 0.8670)  8 Dy 3.51-3.52, 4 Tm 3.51
Ag (0.0000, 0.0000, 0.5000)  8 Tm 3.11

Space group: P4/mmm (123)
Energy of formation from the pure elements, eV/f.u.: -0.467
Fermi-level density of states, states/eV/f.u.: 9.51


Entry 8:
Below is a geometry-optimized ScSbS2O structure, with properties calculated at the PBE level.

a b c (Å): 4.6457 4.6457 6.0279
angles (deg): 90.00 90.00 90.00
Last column: nearest neighbours and their distance in Å.
Atoms (fractional coordinates):
Sc (0.0000, 0.0000, 0.0000)  4 S 2.32
Sb (0.0000, 0.0000, 0.5000)  2 Sc 3.01, 4 O 3.29
S (0.0000, 0.5000, 0.0000)  2 Sc 2.32
S (0.5000, 0.0000, 0.0000)  2 Sc 2.32
O (0.5000, 0.5000, 0.5000)  4 Sb 3.29

Space group: P4/mmm (123)
Fermi-level density of states, states/eV/f.u.: 7.28
Raw formation energy, eV per atom: 0.264


Question: The highest Fermi-level density of states belongs to which entry?
Answer: AcLa5Dy


Question: The lowest Fermi-level density of states belongs to which entry?
Answer: CuAg2Pt


Question: Look up the Fermi-level density of states of the fourth one.
Answer: 6.99 states/eV/f.u.